[1]
## KErAs2O6 (PBE)

Data for a geometry-optimized KErAs2O6 structure.

Cell lengths 5.744, 5.744, 6.812 Å; angles 65.06, 65.06, 60.00 degrees
Last column: magnetic moment on the atom in μB.
Element x y z (fractional)
O: 0.927 0.495 0.286  0.16
O: 0.707 0.073 0.714  0.16
O: 0.293 0.927 0.286  0.16
O: 0.495 0.293 0.286  0.16
O: 0.073 0.505 0.714  0.16
O: 0.505 0.707 0.714  0.16
K: 0.000 0.000 0.000  0.00
As: 0.267 0.267 0.198  0.23
As: 0.733 0.733 0.802  0.23
Er: 0.500 0.500 0.500  0.12

## Properties
* E_form (uncorrected): -1.7956 eV/atom
* density of states at the Fermi level: 0.80 states/eV per cell
* space group: R-3
* total energy: -6.27 eV/atom

***

[2]
## K2ErAsS4 (PBE)

Data for a geometry-optimized K2ErAsS4 structure.

Cell lengths 8.201, 8.201, 8.230 Å; angles 120.12, 120.12, 90.00 degrees
Element x y z (fractional)
Er: 0.000 0.500 0.000
Er: 0.000 0.500 0.500
S: 0.236 0.264 0.462
S: 0.202 0.742 0.972
S: 0.236 0.264 0.038
S: 0.798 0.258 0.028
S: 0.764 0.736 0.538
S: 0.764 0.736 0.962
S: 0.758 0.298 0.528
S: 0.242 0.702 0.472
K: 0.000 0.000 0.500
K: 0.500 0.500 0.000
K: 0.500 0.000 0.500
K: 0.500 0.000 0.000
As: 0.500 0.500 0.500
As: 0.000 0.000 0.000

## Properties
* E_form (uncorrected): -1.1529 eV/atom
* space group: Imma
* total energy: -4.64 eV/atom

***

[3]
## K2ErAsSe4 (PBE)

Data for a geometry-optimized K2ErAsSe4 structure.

Cell lengths 8.563, 8.563, 8.586 Å; angles 120.09, 120.09, 90.04 degrees
Element x y z (fractional)
Se: 0.763 0.737 0.537
Se: 0.757 0.296 0.526
Se: 0.243 0.704 0.474
Se: 0.204 0.743 0.974
Se: 0.763 0.737 0.963
Se: 0.796 0.257 0.026
Se: 0.237 0.263 0.463
Se: 0.237 0.263 0.037
K: 0.500 0.500 0.000
K: 0.500 0.000 0.000
K: 0.000 0.000 0.500
K: 0.500 0.000 0.500
As: 0.000 0.000 0.000
As: 0.500 0.500 0.500
Er: 0.000 0.500 0.500
Er: 0.000 0.500 0.000

## Properties
* E_form (uncorrected): -1.0953 eV/atom
* space group: Imma
* total energy: -4.26 eV/atom

***

[4]
## LaEr2As (PBE)

Data for a geometry-optimized LaEr2As structure.

Cell lengths 3.763, 3.763, 10.745 Å; angles 79.92, 79.92, 60.00 degrees
Element x y z (fractional)
La: 0.000 0.000 0.000
Er: 0.112 0.112 0.663
Er: 0.888 0.888 0.337
As: 0.500 0.500 0.500

## Properties
* density of states at the Fermi level: 5.07 states/eV per cell
* space group: R-3m
* total energy: -5.12 eV/atom

***

[5]
## LaEr3As4 (PBE)

Data for a geometry-optimized LaEr3As4 structure.

Cell lengths 4.161, 7.202, 7.202 Å; angles 70.58, 89.99, 89.99 degrees
Element x y z (fractional)
As: 0.500 0.755 0.255
As: 0.000 0.240 0.261
As: 0.000 0.761 0.739
As: 0.500 0.245 0.745
La: 0.500 0.500 0.000
Er: 0.000 0.000 0.000
Er: 0.000 0.500 0.500
Er: 0.500 0.000 0.500

## Properties
* density of states at the Fermi level: 0.93 states/eV per cell
* space group: Cmmm
* total energy: -6.16 eV/atom

***

[6]
## La2ErAs3 (PBE)

Data for a geometry-optimized La2ErAs3 structure.

Cell lengths 4.295, 4.295, 9.565 Å; angles 102.98, 102.98, 89.98 degrees
Element x y z (fractional)
La: 0.099 0.101 0.204
La: 0.769 0.770 0.544
As: 0.596 0.598 0.198
As: 0.272 0.274 0.550
As: 0.934 0.936 0.874
Er: 0.434 0.436 0.874

## Properties
* density of states at the Fermi level: 0.76 states/eV per cell
* space group: I4/mmm
* total energy: -6.25 eV/atom

***

[7]
## LaNd3Er2As6 (PBE)

Data for a geometry-optimized LaNd3Er2As6 structure.

Cell lengths 7.326, 7.326, 7.327 Å; angles 99.60, 99.60, 120.00 degrees
Element x y z (fractional)
Nd: 0.500 0.500 0.500
Nd: 0.165 0.835 0.500
Nd: 0.835 0.165 0.500
As: 0.919 0.577 0.756
As: 0.739 0.739 0.242
As: 0.081 0.423 0.244
As: 0.423 0.081 0.244
As: 0.577 0.919 0.756
As: 0.261 0.261 0.758
Er: 0.333 0.667 0.000
Er: 0.667 0.333 0.000
La: 0.000 0.000 0.000

## Properties
* density of states at the Fermi level: 1.55 states/eV per cell
* space group: C2/m
* total energy: -6.20 eV/atom

***

[8]
## LaNd2ErAs4 (PBE)

Data for a geometry-optimized LaNd2ErAs4 structure.

Cell lengths 4.258, 7.367, 7.362 Å; angles 70.57, 90.00, 90.00 degrees
Element x y z (fractional)
Nd: 0.500 0.000 0.500
Nd: 0.000 0.000 0.000
La: 0.500 0.500 0.000
Er: 0.000 0.500 0.500
As: 0.500 0.744 0.259
As: 0.000 0.749 0.743
As: 0.500 0.256 0.741
As: 0.000 0.251 0.257

## Properties
* density of states at the Fermi level: 0.71 states/eV per cell
* space group: P2/m
* total energy: -6.21 eV/atom

***

no.,density (g/cm³)
1,4.4
2,3.8
3,4.8
4,7.1
5,7.7
6,6.6
7,7.0
8,6.8